[1]
A relaxed Y5Ho2Tm4 crystal. Source: Alexandria via LeMat-Bulk, functional PBE-GGA.

Structure (extended XYZ):
```
11
Lattice="11.807 -1.731 0.000 11.807 1.731 0.000 -0.998 0.000 8.573" Properties=species:S:1:pos:R:3 pbc="T T T"
Y 0.000 0.000 0.000
Y 6.160 0.000 1.544
Y 7.620 0.000 7.540
Y 14.996 0.000 1.033
Y 16.456 0.000 7.029
Ho 9.388 0.000 2.239
Ho 13.228 0.000 6.334
Tm 3.657 0.000 4.046
Tm 10.098 0.000 5.465
Tm 12.519 0.000 3.108
Tm 18.959 0.000 4.528
```

Results
ΔH_f (0 K) (meV per atom): 161
Spin magnetization (μB per cell): 0.0

[2]
A relaxed ZnSb crystal. Source: Alexandria via LeMat-Bulk, functional PBE-GGA.

Structure (extended XYZ):
```
2
Lattice="3.391 0.000 0.000 0.000 3.391 0.000 0.000 0.000 3.846" Properties=species:S:1:pos:R:3 pbc="T T T"
Zn 0.000 0.000 0.000
Sb 1.696 1.696 1.923
```

Results
Spin magnetization (μB per cell): 0.0
ΔE_f (raw) (meV/atom): 213

[3]
A relaxed Tb5PrTm4 crystal. Source: Alexandria via LeMat-Bulk, functional PBE-GGA.

Structure (extended XYZ):
```
10
Lattice="3.554 0.000 0.000 -1.775 9.218 0.000 -0.010 -2.718 9.619" Properties=species:S:1:pos:R:3 pbc="T T T"
Tb 0.000 0.000 0.000
Tb 0.000 3.404 0.954
Tb -0.004 2.056 5.777
Tb 1.773 4.443 3.841
Tb 1.769 3.096 8.665
Pr -0.005 -1.359 4.809
Tm -0.006 5.450 6.751
Tm 0.000 6.829 1.900
Tm 1.769 -0.329 7.718
Tm 1.775 1.049 2.868
```

Results
ΔH_f (0 K) (meV per atom): 21
Spin magnetization (μB per cell): 0.0

[4]
A relaxed LiBe2As2 crystal. Source: Alexandria via LeMat-Bulk, functional PBE-GGA.

Structure (extended XYZ):
```
20
Lattice="9.809 0.000 0.000 0.000 3.766 0.000 0.000 0.000 8.607" Properties=species:S:1:pos:R:3 pbc="T T T"
Li 1.797 0.942 1.442
Li 3.107 2.825 5.745
Li 6.702 0.942 2.862
Li 8.012 2.825 7.165
Be 0.510 2.825 3.554
Be 1.101 2.825 8.072
Be 3.804 0.942 3.768
Be 4.394 0.942 7.858
Be 5.415 2.825 0.749
Be 6.005 2.825 4.839
Be 8.709 0.942 0.535
Be 9.299 0.942 5.053
As 0.369 0.942 7.154
As 1.606 0.942 4.162
As 3.299 2.825 8.465
As 4.536 2.825 2.851
As 5.274 0.942 5.756
As 6.511 0.942 0.142
As 8.203 2.825 4.445
As 9.440 2.825 1.453
```

Results
ΔH_f (0 K) (meV per atom): -228
Spin magnetization (μB per cell): 0.0

[5]
A relaxed CrAs2Rh crystal. Source: Alexandria via LeMat-Bulk, functional PBE-GGA.

Structure (extended XYZ):
```
8
Lattice="-2.073 2.073 7.963 2.073 -2.073 7.963 2.073 2.073 -7.963" Properties=species:S:1:pos:R:3 pbc="T T T"
Cr 0.000 0.000 0.000
Cr 0.000 2.073 3.981
As 1.036 -1.025 5.972
As 1.048 1.036 1.991
As 1.036 3.098 -1.991
As 1.025 1.036 9.954
Rh 2.073 0.000 3.981
Rh 0.000 0.000 7.963
```

Results
ΔH_f (0 K) (meV per atom): -49
Spin magnetization (μB per cell): 5.7

[6]
A relaxed Ta4TcW crystal. Source: Alexandria via LeMat-Bulk, functional PBE-GGA.

Structure (extended XYZ):
```
6
Lattice="3.227 0.000 0.000 0.000 3.227 0.000 0.000 0.000 9.876" Properties=species:S:1:pos:R:3 pbc="T T T"
Ta 0.000 0.000 1.566
Ta 0.000 0.000 8.310
Ta 1.613 1.613 3.339
Ta 1.613 1.613 6.536
Tc 1.613 1.613 0.000
W 0.000 0.000 4.938
```

Results
ΔH_f (0 K) (meV per atom): -235
Spin magnetization (μB per cell): 0.0

[7]
A relaxed Na3Ca7 crystal. Source: Alexandria via LeMat-Bulk, functional PBE-GGA.

Structure (extended XYZ):
```
20
Lattice="11.211 0.000 0.000 -5.606 9.709 0.000 0.000 0.000 7.485" Properties=species:S:1:pos:R:3 pbc="T T T"
Na 0.000 4.076 0.000
Na -2.076 7.671 0.000
Na 3.530 2.038 3.743
Na 2.076 7.671 0.000
Na 7.681 2.038 3.743
Na 5.606 5.633 3.743
Ca -2.303 5.143 2.332
Ca 0.000 2.387 4.196
Ca -3.539 8.516 4.196
Ca 2.067 1.193 0.453
Ca 0.000 6.473 4.929
Ca 2.303 5.143 2.332
Ca 0.000 9.132 2.332
Ca 5.606 0.577 6.075
Ca 3.302 4.566 6.075
Ca 5.606 3.236 1.186
Ca 3.539 8.516 4.196
Ca 9.144 1.193 0.453
Ca 5.606 7.322 0.453
Ca 7.909 4.566 6.075
```

Results
ΔH_f (0 K) (meV per atom): 98
Spin magnetization (μB per cell): 0.0

[8]
A relaxed Mn2CuPbCl8 crystal. Source: Alexandria via LeMat-Bulk, functional PBE-GGA.

Structure (extended XYZ):
```
12
Lattice="6.206 0.000 0.000 0.773 6.171 0.000 0.818 0.726 8.195" Properties=species:S:1:pos:R:3 pbc="T T T"
Mn 0.501 0.443 2.414
Mn 7.296 6.454 5.781
Cu 3.899 3.448 4.097
Pb 3.490 3.086 0.000
Cl 1.314 1.154 0.336
Cl 1.719 1.507 4.240
Cl 2.855 4.712 5.826
Cl 2.764 4.631 2.370
Cl 5.033 2.266 5.825
Cl 4.942 2.185 2.369
Cl 6.078 5.390 3.955
Cl 6.483 5.743 7.858
```

Results
Spin magnetization (μB per cell): 9.0
ΔE_f (raw) (meV/atom): -918

[9]
A relaxed CsZrO3 crystal. Source: Alexandria via LeMat-Bulk, functional PBE-GGA.

Structure (extended XYZ):
```
5
Lattice="4.480 0.000 0.000 0.000 4.480 0.000 0.000 0.000 4.480" Properties=species:S:1:pos:R:3 pbc="T T T"
Cs 0.000 0.000 0.000
Zr 2.240 2.240 2.240
O 0.000 0.000 2.240
O 0.000 2.240 0.000
O 2.240 0.000 0.000
```

Results
Spin magnetization (μB per cell): 1.6
ΔE_f (raw) (meV/atom): 588

[10]
A relaxed SnAs2SeF crystal. Source: Alexandria via LeMat-Bulk, functional PBE-GGA.

Structure (extended XYZ):
```
5
Lattice="5.322 0.000 0.000 0.000 5.322 0.000 0.000 0.000 5.212" Properties=species:S:1:pos:R:3 pbc="T T T"
Sn 0.000 0.000 0.000
As 0.000 2.661 0.000
As 2.661 0.000 0.000
Se 0.000 0.000 2.606
F 2.661 2.661 2.606
```

Results
Spin magnetization (μB per cell): 0.9
ΔE_f (raw) (meV/atom): 639

[11]
A relaxed ErScCd14 crystal. Source: Alexandria via LeMat-Bulk, functional PBE-GGA.

Structure (extended XYZ):
```
16
Lattice="6.514 0.000 0.000 0.000 6.514 0.000 0.000 0.000 8.481" Properties=species:S:1:pos:R:3 pbc="T T T"
Er 0.000 0.000 0.000
Sc 3.257 3.257 0.000
Cd 0.000 0.000 4.241
Cd 0.000 3.257 0.000
Cd 0.000 3.257 4.241
Cd 1.652 1.652 2.146
Cd 1.652 1.652 6.335
Cd 1.652 4.862 2.146
Cd 1.652 4.862 6.335
Cd 3.257 0.000 0.000
Cd 3.257 0.000 4.241
Cd 3.257 3.257 4.241
Cd 4.862 1.652 2.146
Cd 4.862 1.652 6.335
Cd 4.862 4.862 2.146
Cd 4.862 4.862 6.335
```

Results
ΔH_f (0 K) (meV per atom): -114
Spin magnetization (μB per cell): 0.0

[12]
A relaxed Sm5TeRu2 crystal. Source: Alexandria via LeMat-Bulk, functional PBE-GGA.

Structure (extended XYZ):
```
16
Lattice="-3.983 3.983 6.752 3.983 -3.983 6.752 3.983 3.983 -6.752" Properties=species:S:1:pos:R:3 pbc="T T T"
Sm 0.000 0.000 0.000
Sm 5.214 1.231 -1.808
Sm 1.231 2.753 -1.808
Sm 5.214 1.231 1.808
Sm 1.231 2.753 1.808
Sm 0.000 0.000 6.752
Sm 2.753 1.231 4.944
Sm -1.231 2.753 4.944
Sm 2.753 1.231 8.559
Sm -1.231 2.753 8.559
Te 0.000 0.000 3.376
Te 0.000 0.000 10.127
Ru 2.853 1.131 0.000
Ru 2.853 -1.131 6.752
Ru 1.131 5.114 0.000
Ru 1.131 2.853 6.752
```

Results
Spin magnetization (μB per cell): 0.0
ΔE_f (raw) (meV/atom): -526

E_tot across the listed records, respectively: -5.24, -2.49, -4.56, -3.96, -6.62, -12.02, -1.70, -4.33, -4.27, -3.09, -1.60, -6.19 eV/atom.